{
  "formula": "BaBPb3",
  "functional": "PBE",
  "state": "optimized geometry",
  "de_polymorph_mev_per_atom": 1489,
  "total_energy_ev_per_cell": -10.7,
  "e_form_kj_per_mol_fu": 873,
  "magnetic_moment_mub_per_atom": 0.00,
  "sg": "Pm-3m (221)",
  "cell": [[6.3595, 0.0000, 0.0000], [0.0000, 6.3595, 0.0000], [0.0000, 0.0000, 6.3595]],
  "species": ["Pb", "Pb", "Pb", "B", "Ba"],
  "fractional_positions": [[0.0000, 0.5000, 0.0000], [0.0000, 0.0000, 0.5000], [0.5000, 0.0000, 0.0000], [0.5000, 0.5000, 0.5000], [0.0000, 0.0000, 0.0000]]
}



{
  "formula": "BaBPb2",
  "functional": "PBE",
  "state": "optimized geometry",
  "de_polymorph_mev_per_atom": 502,
  "total_energy_ev_per_cell": -12.8,
  "e_form_kj_per_mol_fu": 315,
  "magnetic_moment_mub_per_atom": 0.00,
  "sg": "Fm-3m (225)",
  "cell": [[0.0000, 3.9012, 3.9012], [3.9012, 0.0000, 3.9012], [3.9012, 3.9012, 0.0000]],
  "species": ["Pb", "Pb", "B", "Ba"],
  "fractional_positions": [[0.2500, 0.2500, 0.2500], [0.7500, 0.7500, 0.7500], [0.0000, 0.0000, 0.0000], [0.5000, 0.5000, 0.5000]]
}



{
  "formula": "BaBPb2",
  "functional": "PBE",
  "state": "optimized geometry",
  "de_polymorph_mev_per_atom": 0,
  "total_energy_ev_per_cell": -29.5,
  "e_form_kj_per_mol_fu": 121,
  "magnetic_moment_mub_per_atom": 0.00,
  "sg": "I-42d (122)",
  "cell": [[-5.2686, -1.3077, -6.3265], [6.4150, -2.0227, -4.9243], [0.2678, -4.8611, -4.7104]],
  "species": ["Pb", "Pb", "Pb", "Pb", "B", "B", "Ba", "Ba"],
  "fractional_positions": [[0.5286, 0.1250, 0.2500], [0.2214, 0.6250, 0.2500], [0.3750, 0.4714, 0.7500], [0.8750, 0.7786, 0.7500], [0.5000, 0.5000, 0.0000], [0.2500, 0.7500, 0.5000], [0.0000, 0.0000, 0.0000], [0.7500, 0.2500, 0.5000]]
}



{
  "formula": "BaB2Pb",
  "functional": "PBE",
  "state": "optimized geometry",
  "de_polymorph_mev_per_atom": 0,
  "total_energy_ev_per_cell": -30.0,
  "e_form_kj_per_mol_fu": 384,
  "magnetic_moment_mub_per_atom": 0.00,
  "sg": "I4_1/amd (141)",
  "cell": [[-1.6985, 2.6579, -3.6591], [-3.8702, -2.8765, -0.2930], [-6.7950, 4.7385, 3.4069]],
  "species": ["Pb", "Pb", "B", "B", "B", "B", "Ba", "Ba"],
  "fractional_positions": [[0.0000, 0.0000, 0.0000], [0.7500, 0.2500, 0.5000], [0.8751, 0.1250, 0.2500], [0.8749, 0.6250, 0.2500], [0.3750, 0.1249, 0.7500], [0.8750, 0.1251, 0.7500], [0.5000, 0.5000, 0.0000], [0.2500, 0.7500, 0.5000]]
}



{
  "formula": "BaB3Pb",
  "functional": "PBE",
  "state": "optimized geometry",
  "de_polymorph_mev_per_atom": 781,
  "total_energy_ev_per_cell": -13.0,
  "e_form_kj_per_mol_fu": 1220,
  "magnetic_moment_mub_per_atom": 0.00,
  "sg": "Pm-3m (221)",
  "cell": [[4.9992, 0.0000, 0.0000], [0.0000, 4.9992, 0.0000], [0.0000, 0.0000, 4.9992]],
  "species": ["Pb", "B", "B", "B", "Ba"],
  "fractional_positions": [[0.5000, 0.5000, 0.5000], [0.0000, 0.5000, 0.0000], [0.0000, 0.0000, 0.5000], [0.5000, 0.0000, 0.0000], [0.0000, 0.0000, 0.0000]]
}



{
  "formula": "BaB2Pb",
  "functional": "PBE",
  "state": "optimized geometry",
  "de_polymorph_mev_per_atom": 189,
  "total_energy_ev_per_cell": -14.3,
  "e_form_kj_per_mol_fu": 457,
  "magnetic_moment_mub_per_atom": 0.00,
  "sg": "Fm-3m (225)",
  "cell": [[0.0000, 3.5064, 3.5064], [3.5064, 0.0000, 3.5064], [3.5064, 3.5064, 0.0000]],
  "species": ["Pb", "B", "B", "Ba"],
  "fractional_positions": [[0.5000, 0.5000, 0.5000], [0.2500, 0.2500, 0.2500], [0.7500, 0.7500, 0.7500], [0.0000, 0.0000, 0.0000]]
}